Record 1
Material: Cs3NdAg2Cl9
Method: DFT, GGA-PBE
State: relaxed

Cell and atoms, written as CIF:
```
data_Cs3NdAg2Cl9
_chemical_formula_sum 'Cs3 Nd1 Ag2 Cl9'
_space_group_name_H-M_alt 'P 1'
_space_group_IT_number 1
_cell_length_a 7.619
_cell_length_b 7.619
_cell_length_c 9.445
_cell_angle_alpha 90.00
_cell_angle_beta 90.00
_cell_angle_gamma 120.00
loop_
_space_group_symop_operation_xyz
'x,y,z'
loop_
_atom_site_label
_atom_site_fract_x
_atom_site_fract_y
_atom_site_fract_z
Cs1 0.333 0.667 0.686
Cs2 0.000 0.000 0.000
Cs3 0.667 0.333 0.314
Nd1 0.000 0.000 0.500
Ag1 0.333 0.667 0.150
Ag2 0.667 0.333 0.850
Cl1 0.831 0.169 0.668
Cl2 0.831 0.663 0.668
Cl3 0.337 0.169 0.668
Cl4 0.663 0.831 0.332
Cl5 0.169 0.337 0.332
Cl6 0.169 0.831 0.332
Cl7 0.500 0.000 0.000
Cl8 0.000 0.500 0.000
Cl9 0.500 0.500 0.000
```

Summary:
crystal system	trigonal
formation energy without anion corrections	-151.6	kJ per mole of atoms
total moment	0.20	μB per formula unit
density of states at the Fermi level	7.602	states/eV per cell
SG	P-3m1
total energy	-3.548	eV per atom



Record 2
Material: CsNdAg2Cl6
Method: DFT, GGA-PBE
State: relaxed

Cell and atoms, written as CIF:
```
data_CsNdAg2Cl6
_chemical_formula_sum 'Cs1 Nd1 Ag2 Cl6'
_space_group_name_H-M_alt 'P 1'
_space_group_IT_number 1
_cell_length_a 7.609
_cell_length_b 7.607
_cell_length_c 7.962
_cell_angle_alpha 90.03
_cell_angle_beta 118.58
_cell_angle_gamma 119.99
loop_
_space_group_symop_operation_xyz
'x,y,z'
loop_
_atom_site_label
_atom_site_fract_x
_atom_site_fract_y
_atom_site_fract_z
Cs1 0.010 0.505 0.501
Nd1 0.006 0.003 0.995
Ag1 0.592 0.796 0.373
Ag2 0.501 0.250 0.737
Cl1 0.580 0.971 0.708
Cl2 0.428 0.028 0.191
Cl3 0.807 0.778 0.191
Cl4 0.178 0.399 0.192
Cl5 0.751 0.609 0.708
Cl6 0.112 0.141 0.707
```

Summary:
crystal system	trigonal
formation energy without anion corrections	-142.5	kJ per mole of atoms
total moment	0.00	μB per formula unit
density of states at the Fermi level	0.000	states/eV per cell
SG	R3
total energy	-3.718	eV per atom



Record 3
Material: CsNdAgCl5
Method: DFT, GGA-PBE
State: relaxed

Cell and atoms, written as CIF:
```
data_CsNdAgCl5
_chemical_formula_sum 'Cs2 Nd2 Ag2 Cl10'
_space_group_name_H-M_alt 'P 1'
_space_group_IT_number 1
_cell_length_a 7.916
_cell_length_b 7.916
_cell_length_c 10.503
_cell_angle_alpha 102.14
_cell_angle_beta 102.14
_cell_angle_gamma 108.78
loop_
_space_group_symop_operation_xyz
'x,y,z'
loop_
_atom_site_label
_atom_site_fract_x
_atom_site_fract_y
_atom_site_fract_z
Cs1 0.341 0.659 0.250
Cs2 0.659 0.341 0.750
Nd1 0.000 0.000 0.500
Nd2 0.000 0.000 0.000
Ag1 0.687 0.313 0.250
Ag2 0.313 0.687 0.750
Cl1 0.068 0.932 0.250
Cl2 0.932 0.068 0.750
Cl3 0.899 0.294 0.092
Cl4 0.101 0.706 0.908
Cl5 0.706 0.101 0.408
Cl6 0.294 0.899 0.592
Cl7 0.757 0.635 0.429
Cl8 0.243 0.365 0.571
Cl9 0.365 0.243 0.071
Cl10 0.635 0.757 0.929
```

Summary:
crystal system	monoclinic
formation energy without anion corrections	-170.8	kJ per mole of atoms
total moment	0.00	μB per formula unit
density of states at the Fermi level	0.000	states/eV per cell
SG	C2/c
total energy	-3.984	eV per atom



Record 4
Material: Cs2NdAg2Cl6
Method: DFT, GGA-PBE
State: relaxed

Cell and atoms, written as CIF:
```
data_Cs2NdAg2Cl6
_chemical_formula_sum 'Cs2 Nd1 Ag2 Cl6'
_space_group_name_H-M_alt 'P 1'
_space_group_IT_number 1
_cell_length_a 7.872
_cell_length_b 7.783
_cell_length_c 8.974
_cell_angle_alpha 117.19
_cell_angle_beta 90.00
_cell_angle_gamma 120.38
loop_
_space_group_symop_operation_xyz
'x,y,z'
loop_
_atom_site_label
_atom_site_fract_x
_atom_site_fract_y
_atom_site_fract_z
Cs1 0.709 0.418 0.176
Cs2 0.291 0.582 0.824
Nd1 0.500 0.000 0.500
Ag1 0.954 0.907 0.823
Ag2 0.046 0.093 0.177
Cl1 0.727 0.455 0.578
Cl2 0.204 0.882 0.239
Cl3 0.323 0.118 0.761
Cl4 0.796 0.118 0.761
Cl5 0.677 0.882 0.239
Cl6 0.273 0.545 0.422
```

Summary:
crystal system	monoclinic
formation energy without anion corrections	-144.9	kJ per mole of atoms
total moment	1.03	μB per formula unit
density of states at the Fermi level	1.544	states/eV per cell
SG	C2/m
total energy	-3.616	eV per atom



Record 5
Material: CsNdAg2Cl8
Method: DFT, GGA-PBE
State: relaxed

Cell and atoms, written as CIF:
```
data_CsNdAg2Cl8
_chemical_formula_sum 'Cs1 Nd1 Ag2 Cl8'
_space_group_name_H-M_alt 'P 1'
_space_group_IT_number 1
_cell_length_a 6.893
_cell_length_b 6.893
_cell_length_c 9.132
_cell_angle_alpha 112.17
_cell_angle_beta 112.17
_cell_angle_gamma 90.00
loop_
_space_group_symop_operation_xyz
'x,y,z'
loop_
_atom_site_label
_atom_site_fract_x
_atom_site_fract_y
_atom_site_fract_z
Cs1 0.000 0.000 0.000
Nd1 0.750 0.250 0.500
Ag1 0.500 0.500 0.000
Ag2 0.250 0.750 0.500
Cl1 0.705 0.878 0.191
Cl2 0.485 0.313 0.191
Cl3 0.595 0.637 0.609
Cl4 0.014 0.972 0.609
Cl5 0.028 0.405 0.391
Cl6 0.363 0.986 0.391
Cl7 0.122 0.515 0.809
Cl8 0.687 0.295 0.809
```

Summary:
crystal system	tetragonal
formation energy without anion corrections	-113.2	kJ per mole of atoms
total moment	0.02	μB per formula unit
density of states at the Fermi level	13.412	states/eV per cell
SG	I-4
total energy	-3.348	eV per atom



Record 6
Material: Cs3NiAg2Cl9
Method: DFT, GGA-PBE
State: relaxed

Cell and atoms, written as CIF:
```
data_Cs3NiAg2Cl9
_chemical_formula_sum 'Cs3 Ni1 Ag2 Cl9'
_space_group_name_H-M_alt 'P 1'
_space_group_IT_number 1
_cell_length_a 7.267
_cell_length_b 7.267
_cell_length_c 8.859
_cell_angle_alpha 90.00
_cell_angle_beta 90.00
_cell_angle_gamma 120.00
loop_
_space_group_symop_operation_xyz
'x,y,z'
loop_
_atom_site_label
_atom_site_fract_x
_atom_site_fract_y
_atom_site_fract_z
Cs1 0.333 0.667 0.673
Cs2 0.000 0.000 0.000
Cs3 0.667 0.333 0.327
Ni1 0.000 0.000 0.500
Ag1 0.333 0.667 0.176
Ag2 0.667 0.333 0.824
Cl1 0.847 0.153 0.652
Cl2 0.847 0.694 0.652
Cl3 0.306 0.153 0.652
Cl4 0.694 0.847 0.348
Cl5 0.153 0.306 0.348
Cl6 0.153 0.847 0.348
Cl7 0.500 0.000 0.000
Cl8 0.000 0.500 0.000
Cl9 0.500 0.500 0.000
```

Summary:
crystal system	trigonal
formation energy without anion corrections	-106.2	kJ per mole of atoms
total moment	0.19	μB per formula unit
density of states at the Fermi level	4.388	states/eV per cell
SG	P-3m1
total energy	-3.144	eV per atom



Record 7
Material: Cs3Ni2AgCl9
Method: DFT, GGA-PBE
State: relaxed

Cell and atoms, written as CIF:
```
data_Cs3Ni2AgCl9
_chemical_formula_sum 'Cs3 Ni2 Ag1 Cl9'
_space_group_name_H-M_alt 'P 1'
_space_group_IT_number 1
_cell_length_a 7.127
_cell_length_b 7.127
_cell_length_c 8.760
_cell_angle_alpha 90.00
_cell_angle_beta 90.00
_cell_angle_gamma 120.00
loop_
_space_group_symop_operation_xyz
'x,y,z'
loop_
_atom_site_label
_atom_site_fract_x
_atom_site_fract_y
_atom_site_fract_z
Cs1 0.333 0.667 0.667
Cs2 0.000 0.000 0.000
Cs3 0.667 0.333 0.333
Ni1 0.333 0.667 0.165
Ni2 0.667 0.333 0.835
Ag1 0.000 0.000 0.500
Cl1 0.823 0.177 0.682
Cl2 0.823 0.646 0.682
Cl3 0.354 0.177 0.682
Cl4 0.646 0.823 0.318
Cl5 0.177 0.354 0.318
Cl6 0.177 0.823 0.318
Cl7 0.500 0.000 0.000
Cl8 0.000 0.500 0.000
Cl9 0.500 0.500 0.000
```

Summary:
crystal system	trigonal
formation energy without anion corrections	-105.4	kJ per mole of atoms
total moment	2.67	μB per formula unit
density of states at the Fermi level	2.651	states/eV per cell
SG	P-3m1
total energy	-3.332	eV per atom



Record 8
Material: CsNiAg2Cl8
Method: DFT, GGA-PBE
State: relaxed

Cell and atoms, written as CIF:
```
data_CsNiAg2Cl8
_chemical_formula_sum 'Cs1 Ni1 Ag2 Cl8'
_space_group_name_H-M_alt 'P 1'
_space_group_IT_number 1
_cell_length_a 5.848
_cell_length_b 5.920
_cell_length_c 10.713
_cell_angle_alpha 78.72
_cell_angle_beta 88.77
_cell_angle_gamma 85.06
loop_
_space_group_symop_operation_xyz
'x,y,z'
loop_
_atom_site_label
_atom_site_fract_x
_atom_site_fract_y
_atom_site_fract_z
Cs1 0.000 0.000 0.500
Ni1 0.000 0.000 0.000
Ag1 0.452 0.501 0.827
Ag2 0.548 0.499 0.173
Cl1 0.183 0.759 0.168
Cl2 0.729 0.745 0.993
Cl3 0.811 0.145 0.162
Cl4 0.817 0.241 0.832
Cl5 0.271 0.255 0.007
Cl6 0.189 0.855 0.838
Cl7 0.538 0.683 0.614
Cl8 0.462 0.317 0.386
```

Summary:
crystal system	triclinic
formation energy without anion corrections	-61.3	kJ per mole of atoms
total moment	0.00	μB per formula unit
density of states at the Fermi level	5.924	states/eV per cell
SG	P-1
total energy	-2.894	eV per atom



Record 9
Material: Cs2NiAg2Cl6
Method: DFT, GGA-PBE
State: relaxed

Cell and atoms, written as CIF:
```
data_Cs2NiAg2Cl6
_chemical_formula_sum 'Cs2 Ni1 Ag2 Cl6'
_space_group_name_H-M_alt 'P 1'
_space_group_IT_number 1
_cell_length_a 7.190
_cell_length_b 8.572
_cell_length_c 6.093
_cell_angle_alpha 100.09
_cell_angle_beta 90.00
_cell_angle_gamma 114.79
loop_
_space_group_symop_operation_xyz
'x,y,z'
loop_
_atom_site_label
_atom_site_fract_x
_atom_site_fract_y
_atom_site_fract_z
Cs1 0.703 0.407 0.224
Cs2 0.297 0.593 0.776
Ni1 0.500 0.000 0.500
Ag1 0.976 0.952 0.742
Ag2 0.024 0.048 0.258
Cl1 0.821 0.642 0.780
Cl2 0.213 0.851 0.286
Cl3 0.361 0.149 0.714
Cl4 0.787 0.149 0.714
Cl5 0.639 0.851 0.286
Cl6 0.179 0.358 0.220
```

Summary:
crystal system	monoclinic
formation energy without anion corrections	-99.9	kJ per mole of atoms
total moment	0.15	μB per formula unit
SG	C2/m
total energy	-3.242	eV per atom



Record 10
Material: CsNiAgCl4
Method: DFT, GGA-PBE
State: relaxed

Cell and atoms, written as CIF:
```
data_CsNiAgCl4
_chemical_formula_sum 'Cs2 Ni2 Ag2 Cl8'
_space_group_name_H-M_alt 'P 1'
_space_group_IT_number 1
_cell_length_a 6.432
_cell_length_b 7.330
_cell_length_c 9.235
_cell_angle_alpha 90.00
_cell_angle_beta 106.82
_cell_angle_gamma 90.00
loop_
_space_group_symop_operation_xyz
'x,y,z'
loop_
_atom_site_label
_atom_site_fract_x
_atom_site_fract_y
_atom_site_fract_z
Cs1 0.713 0.750 0.923
Cs2 0.287 0.250 0.077
Ni1 0.189 0.750 0.330
Ni2 0.811 0.250 0.670
Ag1 0.870 0.750 0.499
Ag2 0.130 0.250 0.501
Cl1 0.053 0.485 0.712
Cl2 0.947 0.985 0.288
Cl3 0.947 0.515 0.288
Cl4 0.053 0.015 0.712
Cl5 0.294 0.750 0.116
Cl6 0.706 0.250 0.884
Cl7 0.486 0.750 0.528
Cl8 0.514 0.250 0.472
```

Summary:
crystal system	monoclinic
formation energy without anion corrections	-87.5	kJ per mole of atoms
total moment	2.00	μB per formula unit
density of states at the Fermi level	2.463	states/eV per cell
SG	P2_1/m
total energy	-3.317	eV per atom



Record 11
Material: Cs3NiAg2Cl8
Method: DFT, GGA-PBE
State: relaxed

Cell and atoms, written as CIF:
```
data_Cs3NiAg2Cl8
_chemical_formula_sum 'Cs3 Ni1 Ag2 Cl8'
_space_group_name_H-M_alt 'P 1'
_space_group_IT_number 1
_cell_length_a 7.227
_cell_length_b 7.227
_cell_length_c 9.857
_cell_angle_alpha 90.00
_cell_angle_beta 90.00
_cell_angle_gamma 120.00
loop_
_space_group_symop_operation_xyz
'x,y,z'
loop_
_atom_site_label
_atom_site_fract_x
_atom_site_fract_y
_atom_site_fract_z
Cs1 0.333 0.667 0.643
Cs2 0.667 0.333 0.357
Cs3 0.000 0.000 0.000
Ni1 0.000 0.000 0.500
Ag1 0.333 0.667 0.227
Ag2 0.667 0.333 0.773
Cl1 0.333 0.667 0.983
Cl2 0.667 0.333 0.017
Cl3 0.152 0.848 0.357
Cl4 0.848 0.152 0.643
Cl5 0.152 0.304 0.357
Cl6 0.848 0.696 0.643
Cl7 0.696 0.848 0.357
Cl8 0.304 0.152 0.643
```

Summary:
crystal system	trigonal
formation energy without anion corrections	-107.8	kJ per mole of atoms
total moment	1.01	μB per formula unit
density of states at the Fermi level	3.057	states/eV per cell
SG	P-3m1
total energy	-3.175	eV per atom



Record 12
Material: CsNpAg2Cl8
Method: DFT, GGA-PBE
State: relaxed

Cell and atoms, written as CIF:
```
data_CsNpAg2Cl8
_chemical_formula_sum 'Cs1 Np1 Ag2 Cl8'
_space_group_name_H-M_alt 'P 1'
_space_group_IT_number 1
_cell_length_a 7.149
_cell_length_b 7.149
_cell_length_c 9.632
_cell_angle_alpha 90.00
_cell_angle_beta 90.00
_cell_angle_gamma 120.00
loop_
_space_group_symop_operation_xyz
'x,y,z'
loop_
_atom_site_label
_atom_site_fract_x
_atom_site_fract_y
_atom_site_fract_z
Cs1 0.000 0.000 0.500
Np1 0.000 0.000 0.000
Ag1 0.333 0.667 0.673
Ag2 0.667 0.333 0.327
Cl1 0.164 0.327 0.843
Cl2 0.164 0.836 0.843
Cl3 0.673 0.836 0.843
Cl4 0.327 0.164 0.157
Cl5 0.667 0.333 0.573
Cl6 0.333 0.667 0.427
Cl7 0.836 0.673 0.157
Cl8 0.836 0.164 0.157
```

Summary:
crystal system	trigonal
formation energy without anion corrections	-111.6	kJ per mole of atoms
total moment	1.83	μB per formula unit
density of states at the Fermi level	9.890	states/eV per cell
SG	P-3m1
total energy	-4.012	eV per atom